[1]
## ErReNO (PBE)

Data for a relaxed ErReNO crystal.

Lattice parameters (Å, degrees): 3.4949 5.7391 5.9844 90.00 90.00 90.00
Fractional positions:
Er (0.0000, 0.5025, 0.3074)
Er (0.0000, 0.0025, 0.6926)
N (0.0000, 0.8967, 0.2944)
N (0.0000, 0.3967, 0.7056)
O (0.5000, 0.3297, 0.1357)
O (0.5000, 0.8297, 0.8643)
Re (0.5000, 0.0251, 0.2806)
Re (0.5000, 0.5251, 0.7194)

[2]
## DyTmAlCo2 (PBE)

Data for a relaxed DyTmAlCo2 crystal.

Lattice parameters (Å, degrees): 3.8382 6.7860 6.7860 32.05 90.00 90.00
Each line ends with the local moment (μB).
Fractional positions:
Al (0.0000, 0.0016, 0.0016)  -0.01
Co (0.0000, 0.1985, 0.1985)  0.16
Co (0.0000, 0.7993, 0.7993)  0.16
Dy (0.5000, 0.3657, 0.3657)  -0.03
Tm (0.5000, 0.6349, 0.6349)  -0.03

In order of appearance, energy = -8.581 -5.732 eV/atom.
In order of appearance, calculated density = 10.6 8.4 g cm⁻³.